Computed, not measured: PaB6W2 after structural relaxation at the PBE level of DFT.

POSCAR file:
```
PaB6W2
1.0
-1.573 3.449 4.317
1.573 -3.449 4.317
1.573 3.449 -4.317
Pa B W
1 6 2
direct
0.000 0.000 0.000
0.065 0.307 0.758
0.331 0.500 0.831
0.451 0.693 0.758
0.549 0.307 0.242
0.669 0.500 0.169
0.935 0.693 0.242
0.345 0.845 0.500
0.655 0.155 0.500
```

## Properties
As for the space group: Immm. Its density of states at the Fermi level is 3.1 states/eV/cell. Its total magnetic moment is 0.0 μB per cell. The calculation puts the calculated formation energy at -0.49 eV per atom.



Computed, not measured: PaBW2 after structural relaxation at the PBE level of DFT.

POSCAR file:
```
PaBW2
1.0
1.552 0.896 8.045
-1.552 0.896 8.045
0.000 -1.792 8.045
Pa B W
1 1 2
direct
0.000 0.000 0.000
0.500 0.500 0.500
0.115 0.115 0.115
0.885 0.885 0.885
```

## Properties
As for the space group: R-3m. Its density of states at the Fermi level is 3.1 states/eV/cell. Its total magnetic moment is 0.0 μB per cell. The calculation puts the calculated formation energy at 0.38 eV per atom.



Computed, not measured: PaB4W after structural relaxation at the PBE level of DFT.

POSCAR file:
```
PaB4W
1.0
0.000 3.277 3.277
3.277 0.000 3.277
3.277 3.277 0.000
Pa B W
1 4 1
direct
0.000 0.000 0.000
0.403 0.403 0.403
0.403 0.403 0.790
0.403 0.790 0.403
0.790 0.403 0.403
0.750 0.750 0.750
```

## Properties
As for the space group: F-43m. Its density of states at the Fermi level is 6.0 states/eV/cell. Its total magnetic moment is 0.0 μB per cell. The calculation puts the calculated formation energy at 0.66 eV per atom.



Computed, not measured: PaB4W after structural relaxation at the PBE level of DFT.

POSCAR file:
```
PaB4W
1.0
3.703 -4.733 0.000
3.703 4.733 0.000
0.000 0.000 3.702
Pa B W
2 8 2
direct
0.198 0.802 0.000
0.802 0.198 0.000
0.119 0.437 0.500
0.121 0.121 0.500
0.408 0.592 0.500
0.437 0.119 0.500
0.563 0.881 0.500
0.592 0.408 0.500
0.879 0.879 0.500
0.881 0.563 0.500
0.320 0.320 0.000
0.680 0.680 0.000
```

## Properties
As for the space group: Cmmm. Its density of states at the Fermi level is 5.6 states/eV/cell. Its total magnetic moment is 0.0 μB per cell. The calculation puts the calculated formation energy at -0.60 eV per atom.



Computed, not measured: PaB4W after structural relaxation at the PBE level of DFT.

POSCAR file:
```
PaB4W
1.0
-1.575 2.708 3.737
1.575 -2.708 3.737
1.575 2.708 -3.737
Pa B W
1 4 1
direct
0.000 0.000 0.000
0.087 0.754 0.333
0.421 0.754 0.667
0.579 0.246 0.333
0.913 0.246 0.667
0.500 0.500 0.000
```

## Properties
As for the space group: Immm. Its density of states at the Fermi level is 3.8 states/eV/cell. Its total magnetic moment is 0.0 μB per cell. The calculation puts the calculated formation energy at -0.29 eV per atom.



Computed, not measured: YPa2B after structural relaxation at the PBE level of DFT.

POSCAR file:
```
YPa2B
1.0
1.708 0.986 9.502
-1.708 0.986 9.502
0.000 -1.973 9.502
Y Pa B
1 2 1
direct
0.000 0.000 0.000
0.114 0.114 0.114
0.886 0.886 0.886
0.500 0.500 0.500
```

## Properties
As for the space group: R-3m. Its density of states at the Fermi level is 6.7 states/eV/cell. Its total magnetic moment is 0.0 μB per cell. The calculation puts the calculated formation energy at 0.18 eV per atom.



Computed, not measured: YPaB2 after structural relaxation at the PBE level of DFT.

POSCAR file:
```
YPaB2
1.0
1.873 1.081 6.051
-1.873 1.081 6.051
0.000 -2.162 6.051
Y Pa B
1 1 2
direct
0.000 0.000 0.000
0.500 0.500 0.500
0.241 0.241 0.241
0.759 0.759 0.759
```

## Properties
As for the space group: R-3m. Its density of states at the Fermi level is 7.4 states/eV/cell. Its total magnetic moment is 0.0 μB per cell. The calculation puts the calculated formation energy at 0.12 eV per atom.



Computed, not measured: YPaB4 after structural relaxation at the PBE level of DFT.

POSCAR file:
```
YPaB4
1.0
0.000 3.384 3.384
3.384 0.000 3.384
3.384 3.384 0.000
Y Pa B
1 1 4
direct
0.000 0.000 0.000
0.250 0.250 0.250
0.223 0.592 0.592
0.592 0.223 0.592
0.592 0.592 0.223
0.592 0.592 0.592
```

## Properties
As for the space group: F-43m. Its density of states at the Fermi level is 3.1 states/eV/cell. Its total magnetic moment is 0.0 μB per cell. The calculation puts the calculated formation energy at 0.33 eV per atom.



Q: Number 3 is which compound?
A: PaB4W



Q: Look up the total magnetic moment of the fifth one.
A: 0.0 μB per cell



Copy entry 7 word for word.
Computed, not measured: YPaB2 after structural relaxation at the PBE level of DFT.

POSCAR file:
```
YPaB2
1.0
1.873 1.081 6.051
-1.873 1.081 6.051
0.000 -2.162 6.051
Y Pa B
1 1 2
direct
0.000 0.000 0.000
0.500 0.500 0.500
0.241 0.241 0.241
0.759 0.759 0.759
```

## Properties
As for the space group: R-3m. Its density of states at the Fermi level is 7.4 states/eV/cell. Its total magnetic moment is 0.0 μB per cell. The calculation puts the calculated formation energy at 0.12 eV per atom.



Repeat the second record exactly.
Computed, not measured: PaBW2 after structural relaxation at the PBE level of DFT.

POSCAR file:
```
PaBW2
1.0
1.552 0.896 8.045
-1.552 0.896 8.045
0.000 -1.792 8.045
Pa B W
1 1 2
direct
0.000 0.000 0.000
0.500 0.500 0.500
0.115 0.115 0.115
0.885 0.885 0.885
```

## Properties
As for the space group: R-3m. Its density of states at the Fermi level is 3.1 states/eV/cell. Its total magnetic moment is 0.0 μB per cell. The calculation puts the calculated formation energy at 0.38 eV per atom.